# 1
The following is a DFT calculation (PBE) of a relaxed structure of RbIF3.

Unit cell a=7.319 b=7.319 c=7.300 alpha=59.91 beta=59.91 gamma=90.00
Fractional positions:
I (0.500, 0.500, 0.000)
I (0.000, 0.000, 0.000)
Rb (0.750, 0.250, 0.500)
Rb (0.250, 0.750, 0.500)
F (0.206, 0.206, 0.587)
F (0.794, 0.794, 0.413)
F (0.301, 0.301, 0.000)
F (0.699, 0.699, 0.000)
F (0.699, 0.301, 0.000)
F (0.301, 0.699, 0.000)

total magnetic moment = 0.00 μB per atom
space-group type = I4/mmm
E = -3.406 eV/atom
volume = 27.6 Å³ per atom
ΔE_f (raw) = -1.780 eV/atom
energy above the lowest structure with this stoichiometry = 0 meV/atom



# 2
The following is a DFT calculation (PBE) of a relaxed structure of KBe2Cu.

Unit cell a=2.675 b=3.306 c=7.534 alpha=90.00 beta=90.00 gamma=90.00
Fractional positions:
Be (0.000, 0.000, 0.108)
Be (0.000, 0.000, 0.392)
K (0.500, 0.500, 0.750)
Cu (0.500, 0.500, 0.250)

DFT formation energy = 0.55 eV/atom
total magnetic moment = 0.00 μB per atom
space-group type = Pmmm
E = -2.612 eV/atom
volume = 16.7 Å³ per atom
energy above the lowest structure with this stoichiometry = 326 meV/atom



# 3
The following is a DFT calculation (PBE) of a relaxed structure of MgBeV.

Unit cell a=3.440 b=12.093 c=4.021 alpha=90.00 beta=90.00 gamma=90.00
Fractional positions:
Be (0.000, 0.191, 0.500)
Be (0.000, 0.809, 0.500)
Be (0.500, 0.691, 0.500)
Be (0.500, 0.309, 0.500)
Mg (0.500, 0.000, 0.500)
Mg (0.000, 0.500, 0.500)
Mg (0.000, 0.000, 0.000)
Mg (0.500, 0.500, 0.000)
V (0.000, 0.680, 0.000)
V (0.000, 0.320, 0.000)
V (0.500, 0.180, 0.000)
V (0.500, 0.820, 0.000)

DFT formation energy = 0.22 eV/atom
total magnetic moment = 0.00 μB per atom
space-group type = Cmmm
E = -4.594 eV/atom
volume = 13.9 Å³ per atom
energy above the lowest structure with this stoichiometry = 131 meV/atom



# 4
The following is a DFT calculation (PBE) of a relaxed structure of LiLa2O3.

Unit cell a=3.489 b=3.793 c=7.061 alpha=105.58 beta=104.31 gamma=90.00
Fractional positions:
Li (0.000, 0.000, 0.000)
La (0.641, 0.641, 0.282)
La (0.359, 0.359, 0.718)
O (0.000, 0.500, 0.000)
O (0.828, 0.828, 0.656)
O (0.172, 0.172, 0.344)

total magnetic moment = 0.00 μB per atom
space-group type = Immm
E = -7.273 eV/atom
volume = 14.5 Å³ per atom
ΔE_f (raw) = -2.833 eV/atom



# 5
The following is a DFT calculation (PBE) of a relaxed structure of TlIn4As.

Unit cell a=6.205 b=6.205 c=6.205 alpha=60.00 beta=60.00 gamma=60.00
Fractional positions:
Tl (0.750, 0.750, 0.750)
In (0.877, 0.374, 0.374)
In (0.374, 0.374, 0.877)
In (0.374, 0.877, 0.374)
In (0.374, 0.374, 0.374)
As (0.000, 0.000, 0.000)

DFT formation energy = 0.23 eV/atom
total magnetic moment = 0.00 μB per atom
space-group type = F-43m
E = -2.766 eV/atom
volume = 28.2 Å³ per atom



# 6
The following is a DFT calculation (PBE) of a relaxed structure of LaRh.

Unit cell a=5.856 b=5.856 c=5.783 alpha=90.00 beta=90.00 gamma=90.00
Fractional positions:
La (0.221, 0.221, 0.000)
La (0.721, 0.279, 0.500)
La (0.279, 0.721, 0.500)
La (0.779, 0.779, 0.000)
Rh (0.300, 0.700, 0.000)
Rh (0.800, 0.800, 0.500)
Rh (0.200, 0.200, 0.500)
Rh (0.700, 0.300, 0.000)

DFT formation energy = -0.63 eV/atom
total magnetic moment = 0.00 μB per atom
space-group type = P4_2/mnm
E = -6.768 eV/atom
volume = 24.8 Å³ per atom



# 7
The following is a DFT calculation (PBE) of a relaxed structure of Ba2AlHg.

Unit cell a=5.747 b=5.747 c=5.747 alpha=60.00 beta=60.00 gamma=60.00
Fractional positions:
Al (0.500, 0.500, 0.500)
Hg (0.750, 0.750, 0.750)
Ba (0.000, 0.000, 0.000)
Ba (0.250, 0.250, 0.250)

DFT formation energy = -0.05 eV/atom
total magnetic moment = 0.00 μB per atom
space-group type = F-43m
E = -2.020 eV/atom
volume = 33.6 Å³ per atom
energy above the lowest structure with this stoichiometry = 236 meV/atom



# 8
The following is a DFT calculation (PBE) of a relaxed structure of K3Sb4Au2.

Unit cell a=7.514 b=9.818 c=9.818 alpha=69.27 beta=69.95 gamma=69.95
Fractional positions:
K (0.916, 0.011, 0.224)
K (0.584, 0.776, 0.989)
K (0.084, 0.989, 0.776)
K (0.416, 0.224, 0.011)
K (0.250, 0.435, 0.565)
K (0.750, 0.565, 0.435)
Sb (0.318, 0.915, 0.378)
Sb (0.182, 0.622, 0.085)
Sb (0.682, 0.085, 0.622)
Sb (0.818, 0.378, 0.915)
Sb (0.076, 0.211, 0.404)
Sb (0.424, 0.596, 0.789)
Sb (0.924, 0.789, 0.596)
Sb (0.576, 0.404, 0.211)
Au (0.473, 0.152, 0.412)
Au (0.027, 0.588, 0.848)
Au (0.527, 0.848, 0.588)
Au (0.973, 0.412, 0.152)

total magnetic moment = 0.00 μB per atom
space-group type = C2/c
E = -3.236 eV/atom
volume = 34.2 Å³ per atom
ΔE_f (raw) = -0.310 eV/atom
energy above the lowest structure with this stoichiometry = 58 meV/atom